CdF, relaxed, DFT PBE; SG = Cm, No. 8; DFT total energy = -2.750 eV/atom; crystal system = monoclinic
1.0
5.737 0.000 0.000
0.000 3.260 0.000
-1.887 0.000 3.952
Cd F
2 2
direct
0.000 0.000 0.000
0.500 0.500 0.000
0.210 0.000 0.630
0.710 0.500 0.630


CePrIrCl, relaxed, DFT PBE; SG = R3m, No. 160; DFT total energy = -6.498 eV/atom; crystal system = trigonal
1.0
4.084 0.000 0.000
-2.042 3.537 0.000
0.000 0.000 23.111
Ce Pr Ir Cl
3 3 3 3
direct
0.000 0.000 0.000
0.333 0.667 0.667
0.667 0.333 0.333
0.000 0.000 0.199
0.333 0.667 0.865
0.667 0.333 0.532
0.000 0.000 0.605
0.333 0.667 0.271
0.667 0.333 0.938
0.000 0.000 0.431
0.333 0.667 0.098
0.667 0.333 0.764